First-principles (GGA-PBE) data for a geometry-optimized Ce2HoAl structure, as listed in the Alexandria database.

Cell lengths 4.528, 4.528, 5.013 Å; angles 90.00, 90.00, 90.00 degrees
Space group P4/mmm (No. 123)
Asymmetric unit:
Ce 0.000 0.500 0.000 [2 per cell]
Ho 0.000 0.000 0.500 [1 per cell]
Al 0.500 0.500 0.500 [1 per cell]

Results
formation energy = -0.15 eV per atom
E = -5.199 eV/atom
polymorph energy (0 for the lowest one) = 0.030 eV per atom

---

First-principles (GGA-PBE) data for a geometry-optimized CeHo4Al structure, as listed in the Alexandria database.

Cell lengths 5.265, 12.050, 10.820 Å; angles 90.00, 90.00, 90.00 degrees
Space group Cmc2_1 (No. 36)
Asymmetric unit:
Ce 0.000 0.184 0.000 [4 per cell]
Ho 0.000 0.025 0.286 [4 per cell]
Ho 0.000 0.180 0.570 [4 per cell]
Ho 0.000 0.319 0.284 [4 per cell]
Ho 0.000 0.496 0.026 [4 per cell]
Al 0.000 0.350 0.776 [4 per cell]

Results
formation energy = -0.04 eV per atom
E = -4.707 eV/atom